a | # Ac3TbPb4, relaxed, DFT GGA-PBE
data_Ac3TbPb4
_chemical_formula_sum 'Ac3 Tb1 Pb4'
_symmetry_space_group_name_H-M 'P 1'
_symmetry_Int_Tables_number 1
_symmetry_space_group_name_Hall 'P 1'
_cell_length_a 4.124
_cell_length_b 4.124
_cell_length_c 16.085
_cell_angle_alpha 90.00
_cell_angle_beta 90.00
_cell_angle_gamma 90.00
loop_
_atom_site_label
_atom_site_fract_x
_atom_site_fract_y
_atom_site_fract_z
Ac1 0.000 0.000 0.000
Ac2 0.000 0.000 0.266
Ac3 0.000 0.000 0.734
Tb1 0.000 0.000 0.500
Pb1 0.500 0.500 0.135
Pb2 0.500 0.500 0.399
Pb3 0.500 0.500 0.601
Pb4 0.500 0.500 0.865
# * magnetization: 0.0 μB per formula unit
# * crystal system: tetragonal


b | # Ac3TbPb4, relaxed, DFT GGA-PBE
data_Ac3TbPb4
_chemical_formula_sum 'Ac6 Tb2 Pb8'
_symmetry_space_group_name_H-M 'P 1'
_symmetry_Int_Tables_number 1
_symmetry_space_group_name_Hall 'P 1'
_cell_length_a 11.150
_cell_length_b 9.096
_cell_length_c 5.808
_cell_angle_alpha 90.00
_cell_angle_beta 90.00
_cell_angle_gamma 90.00
loop_
_atom_site_label
_atom_site_fract_x
_atom_site_fract_y
_atom_site_fract_z
Ac1 0.000 0.074 0.000
Ac2 0.204 0.660 0.499
Ac3 0.296 0.340 0.999
Ac4 0.500 0.926 0.500
Ac5 0.704 0.340 0.999
Ac6 0.796 0.660 0.499
Tb1 0.000 0.326 0.500
Tb2 0.500 0.674 0.000
Pb1 0.000 0.494 0.000
Pb2 0.000 0.924 0.500
Pb3 0.233 0.129 0.499
Pb4 0.267 0.871 0.999
Pb5 0.500 0.076 0.000
Pb6 0.500 0.506 0.500
Pb7 0.733 0.871 0.999
Pb8 0.767 0.129 0.499
# * magnetization: 0.0 μB per formula unit
# * crystal system: orthorhombic


Looking at the structures above, a is most stable, and the difference to the next one is 143 meV per atom.